[1]
Density functional theory data (PBE-GGA) for a geometry-optimized Nd8Si3PCl4 structure.

Summary:
* uncorrected energy: -5.492 eV/atom
* formation energy without anion corrections: -1.29 eV per atom

Lattice parameters (Å, degrees): 8.5455 8.5455 8.5455 58.98 58.98 58.98
With the nearest neighbours (Å) after each atom.
Atoms (fractional coordinates):
Nd 0.2411 0.2411 0.2411  3 Si 2.89, 3 Cl 3.11
Nd 0.2422 0.7385 0.7385  1 P 2.86, 2 Si 2.88, 3 Cl 3.12-3.14
Nd 0.2615 0.2615 0.7578  1 P 2.86, 2 Si 2.88, 3 Cl 3.12-3.14
Nd 0.2615 0.7578 0.2615  1 P 2.86, 2 Si 2.88, 3 Cl 3.12-3.14
Nd 0.7385 0.2422 0.7385  1 P 2.86, 2 Si 2.88, 3 Cl 3.12-3.14
Nd 0.7385 0.7385 0.2422  1 P 2.86, 2 Si 2.88, 3 Cl 3.12-3.14
Nd 0.7578 0.2615 0.2615  1 P 2.86, 2 Si 2.88, 3 Cl 3.12-3.14
Nd 0.7589 0.7589 0.7589  3 Si 2.89, 3 Cl 3.11
Si 0.0000 0.0000 0.5000  6 Nd 2.88-2.89
Si 0.0000 0.5000 0.0000  6 Nd 2.88-2.89
Si 0.5000 0.0000 0.0000  6 Nd 2.88-2.89
P 0.5000 0.5000 0.5000  6 Nd 2.86
Cl 0.0000 0.0000 0.0000  6 Nd 3.14
Cl 0.0000 0.5000 0.5000  6 Nd 3.11-3.12
Cl 0.5000 0.0000 0.5000  6 Nd 3.11-3.12
Cl 0.5000 0.5000 0.0000  6 Nd 3.11-3.12


[2]
Density functional theory data (PBE-GGA) for a geometry-optimized SrPm3Au2 structure.

Summary:
* uncorrected energy: -4.280 eV/atom
* energy relative to the elements: -0.532 eV per atom

Lattice parameters (Å, degrees): 5.0931 9.1768 7.7063 90.00 90.00 90.00
With the nearest neighbours (Å) after each atom.
Atoms (fractional coordinates):
Sr 0.0000 0.0741 0.0000  3 Au 3.18-3.40
Sr 0.0000 0.9259 0.5000  3 Au 3.18-3.40
Pm 0.0000 0.3372 0.6331  4 Au 2.97-3.13
Pm 0.0000 0.6628 0.1331  4 Au 2.97-3.13
Pm 0.5000 0.1792 0.3371  4 Au 2.99-3.19
Pm 0.5000 0.4240 0.9671  3 Au 3.10-3.39
Pm 0.5000 0.5760 0.4671  3 Au 3.10-3.39
Pm 0.5000 0.8208 0.8371  4 Au 2.99-3.19
Au 0.0000 0.3530 0.2449  4 Pm 2.97-3.09, 1 Sr 3.18
Au 0.0000 0.6470 0.7449  4 Pm 2.97-3.09, 1 Sr 3.18
Au 0.5000 0.1547 0.7242  5 Pm 2.99-3.19
Au 0.5000 0.8453 0.2242  5 Pm 2.99-3.19


[3]
Density functional theory data (PBE-GGA) for a geometry-optimized Pm8AgRh5 structure.

Summary:
* uncorrected energy: -6.130 eV/atom
* energy relative to the elements: -0.587 eV per atom

Lattice parameters (Å, degrees): 7.7001 7.7001 7.7001 109.09 109.09 110.24
With the nearest neighbours (Å) after each atom.
Atoms (fractional coordinates):
Pm 0.2494 0.5050 0.6150  2 Rh 2.81-2.86, 1 Ag 2.98
Pm 0.3656 0.7506 0.2556  2 Rh 2.81-2.86, 1 Ag 2.98
Pm 0.3735 0.2363 0.2527  3 Rh 2.81-2.88
Pm 0.4950 0.1100 0.7444  2 Rh 2.81-2.86, 1 Ag 2.98
Pm 0.7637 0.0164 0.1372  3 Rh 2.81-2.88
Pm 0.8792 0.6265 0.8628  3 Rh 2.81-2.88
Pm 0.8900 0.6344 0.3850  2 Rh 2.81-2.86, 1 Ag 2.98
Pm 0.9836 0.1208 0.7473  3 Rh 2.81-2.88
Ag 0.5000 0.5000 0.0000  4 Pm 2.98
Rh 0.1275 0.0053 0.3849  4 Pm 2.81-2.88
Rh 0.2574 0.8725 0.8778  4 Pm 2.81-2.88
Rh 0.6204 0.7426 0.6151  4 Pm 2.81-2.88
Rh 0.7500 0.2500 0.5000  4 Pm 2.84
Rh 0.9947 0.3796 0.1222  4 Pm 2.81-2.88


[4]
Density functional theory data (PBE-GGA) for a geometry-optimized In2SnRh2 structure.

Summary:
* uncorrected energy: -4.907 eV/atom
* energy relative to the elements: -0.070 eV per atom

Lattice parameters (Å, degrees): 7.0454 7.0454 7.0454 147.43 147.43 46.72
With the nearest neighbours (Å) after each atom.
Atoms (fractional coordinates):
In 0.2500 0.7500 0.5000  4 Rh 2.76, 4 In 2.79
In 0.7500 0.2500 0.5000  4 Rh 2.76, 4 In 2.79
Sn 0.0000 0.0000 0.0000  8 Rh 3.09
Rh 0.3986 0.3986 0.0000  1 Rh 2.62, 4 In 2.76
Rh 0.6014 0.6014 0.0000  1 Rh 2.62, 4 In 2.76


Q: Look up the uncorrected energy of the second one.
A: -4.280 eV/atom